1.
Compound: NaIO2F
Source: Alexandria
Functional: PBE
Structure: relaxed

It has space group P4/mmm (No. 123), with a = 4.254 Å, b = 4.254 Å, c = 6.482 Å, α = 90.00°, β = 90.00° and γ = 90.00°. The inequivalent atoms are Na at (0.000, 0.000, 0.000), I at (0.000, 0.000, 0.500), O at (0.000, 0.500, 0.000) and F at (0.500, 0.500, 0.500).

As for the uncorrected formation energy: 571 meV per atom. The total energy comes out at -2.36 eV/atom. For the magnetic moment, the calculation gives 0.33 μB/cell.

---

2.
Compound: DyEr2Se4
Source: Alexandria
Functional: PBE
Structure: relaxed

It has space group C2/m (No. 12), with a = 15.082 Å, b = 4.069 Å, c = 7.069 Å, α = 90.00°, β = 116.66° and γ = 90.00°. The inequivalent atoms are Dy at (0.000, 0.000, 0.000), Er at (0.236, 0.500, 0.726), Se at (0.124, 0.000, 0.447) and Se at (0.135, 0.500, 0.987).

As for the uncorrected formation energy: -1819 meV per atom. The total energy comes out at -5.77 eV/atom. For the magnetic moment, the calculation gives 0.00 μB/cell.

---

3.
Compound: Y3BeRh2
Source: Alexandria
Functional: PBE
Structure: relaxed

It has space group Pnma (No. 62), with a = 11.245 Å, b = 3.921 Å, c = 11.653 Å, α = 90.00°, β = 90.00° and γ = 90.00°. The inequivalent atoms are Y at (0.062, 0.250, 0.121), Y at (0.123, 0.750, 0.557), Y at (0.202, 0.250, 0.805), Be at (0.125, 0.250, 0.369), Rh at (0.032, 0.750, 0.317) and Rh at (0.195, 0.750, 0.980).

The calculated formation energy comes out at -644 meV per atom. The total energy comes out at -6.95 eV/atom. For the magnetic moment, the calculation gives 0.00 μB/cell.

---

4.
Compound: Ce3TlSe6
Source: Alexandria
Functional: PBE
Structure: relaxed

It has space group P2_1/m (No. 11), with a = 10.830 Å, b = 4.357 Å, c = 13.672 Å, α = 90.00°, β = 106.17° and γ = 90.00°. The inequivalent atoms are Ce at (0.028, 0.250, 0.154), Ce at (0.229, 0.250, 0.689), Ce at (0.309, 0.750, 0.424), Tl at (0.353, 0.250, 0.054), Se at (0.030, 0.750, 0.293), Se at (0.137, 0.750, 0.056), Se at (0.141, 0.750, 0.554), Se at (0.265, 0.750, 0.837), Se at (0.298, 0.250, 0.281) and Se at (0.416, 0.250, 0.572).

The energy above the most stable polymorph in this dataset comes out at 0.000 eV per atom. As for the uncorrected formation energy: -1484 meV per atom. The total energy comes out at -5.59 eV/atom. For the magnetic moment, the calculation gives 2.29 μB/cell.